Record 1
# BaPdO3 (PBE-GGA, relaxed)
# VASP energy: -28.3 eV per cell
# space-group type: No. 221
# E_form (uncorrected): -1.255 eV/atom
data_BaPdO3
_chemical_formula_sum 'Ba1 Pd1 O3'
_cell_length_a 4.125
_cell_length_b 4.125
_cell_length_c 4.125
_cell_angle_alpha 90.00
_cell_angle_beta 90.00
_cell_angle_gamma 90.00
_symmetry_space_group_name_H-M 'P 1'
_symmetry_Int_Tables_number 1
_symmetry_space_group_name_Hall 'P 1'
loop_
_atom_site_label
_atom_site_type_symbol
_atom_site_fract_x
_atom_site_fract_y
_atom_site_fract_z
Ba1 Ba 0.000 0.000 0.000
Pd1 Pd 0.500 0.500 0.500
O1 O 0.000 0.500 0.500
O2 O 0.500 0.000 0.500
O3 O 0.500 0.500 0.000

***

Record 2
# YMn2Ru (PBE-GGA, relaxed)
# VASP energy: -33.1 eV per cell
# distance to the lowest polymorph of the same formula: 157.3 meV/atom
# space-group type: No. 44
data_YMn2Ru
_chemical_formula_sum 'Y1 Mn2 Ru1'
_cell_length_a 5.406
_cell_length_b 5.406
_cell_length_c 5.406
_cell_angle_alpha 143.97
_cell_angle_beta 130.17
_cell_angle_gamma 63.01
_symmetry_space_group_name_H-M 'P 1'
_symmetry_Int_Tables_number 1
_symmetry_space_group_name_Hall 'P 1'
loop_
_atom_site_label
_atom_site_type_symbol
_atom_site_fract_x
_atom_site_fract_y
_atom_site_fract_z
Y1 Y 0.000 0.000 0.000
Mn1 Mn 0.276 0.776 0.500
Mn2 Mn 0.553 0.553 0.000
Ru1 Ru 0.752 0.252 0.500

***

Record 3
# BaTiSe2S (PBE-GGA, relaxed)
# VASP energy: -28.3 eV per cell
# space-group type: No. 123
# E_form (uncorrected): -1.475 eV/atom
data_BaTiSe2S
_chemical_formula_sum 'Ba1 Ti1 Se2 S1'
_cell_length_a 5.123
_cell_length_b 5.123
_cell_length_c 4.770
_cell_angle_alpha 90.00
_cell_angle_beta 90.00
_cell_angle_gamma 90.00
_symmetry_space_group_name_H-M 'P 1'
_symmetry_Int_Tables_number 1
_symmetry_space_group_name_Hall 'P 1'
loop_
_atom_site_label
_atom_site_type_symbol
_atom_site_fract_x
_atom_site_fract_y
_atom_site_fract_z
Ba1 Ba 0.000 0.000 0.000
Ti1 Ti 0.500 0.500 0.500
Se1 Se 0.000 0.500 0.500
Se2 Se 0.500 0.000 0.500
S1 S 0.500 0.500 0.000

***

Record 4
# TmPa2Ge (PBE-GGA, relaxed)
# VASP energy: -27.5 eV per cell
# distance to the lowest polymorph of the same formula: 380.3 meV/atom
# space-group type: No. 166
data_TmPa2Ge
_chemical_formula_sum 'Tm1 Pa2 Ge1'
_cell_length_a 11.439
_cell_length_b 11.439
_cell_length_c 11.439
_cell_angle_alpha 15.97
_cell_angle_beta 15.97
_cell_angle_gamma 15.97
_symmetry_space_group_name_H-M 'P 1'
_symmetry_Int_Tables_number 1
_symmetry_space_group_name_Hall 'P 1'
loop_
_atom_site_label
_atom_site_type_symbol
_atom_site_fract_x
_atom_site_fract_y
_atom_site_fract_z
Tm1 Tm 0.000 0.000 0.000
Pa1 Pa 0.093 0.093 0.093
Pa2 Pa 0.907 0.907 0.907
Ge1 Ge 0.500 0.500 0.500

***

Record 5
# Ba2ZnPdCl (PBE-GGA, relaxed)
# VASP energy: -16.2 eV per cell
# space-group type: No. 123
# E_form (uncorrected): -0.812 eV/atom
data_Ba2ZnPdCl
_chemical_formula_sum 'Ba2 Zn1 Pd1 Cl1'
_cell_length_a 6.135
_cell_length_b 6.135
_cell_length_c 4.855
_cell_angle_alpha 90.00
_cell_angle_beta 90.00
_cell_angle_gamma 90.00
_symmetry_space_group_name_H-M 'P 1'
_symmetry_Int_Tables_number 1
_symmetry_space_group_name_Hall 'P 1'
loop_
_atom_site_label
_atom_site_type_symbol
_atom_site_fract_x
_atom_site_fract_y
_atom_site_fract_z
Ba1 Ba 0.000 0.500 0.000
Ba2 Ba 0.500 0.000 0.000
Zn1 Zn 0.000 0.000 0.500
Pd1 Pd 0.000 0.000 0.000
Cl1 Cl 0.500 0.500 0.500

***

Record 6
# PmPr6Y3Ho2 (PBE-GGA, relaxed)
# VASP energy: -61.9 eV per cell
# space-group type: No. 12
data_PmPr6Y3Ho2
_chemical_formula_sum 'Pm1 Pr6 Y3 Ho2'
_cell_length_a 6.330
_cell_length_b 6.330
_cell_length_c 11.948
_cell_angle_alpha 95.05
_cell_angle_beta 95.05
_cell_angle_gamma 120.00
_symmetry_space_group_name_H-M 'P 1'
_symmetry_Int_Tables_number 1
_symmetry_space_group_name_Hall 'P 1'
loop_
_atom_site_label
_atom_site_type_symbol
_atom_site_fract_x
_atom_site_fract_y
_atom_site_fract_z
Pm1 Pm 0.000 0.000 0.000
Pr1 Pr 0.084 0.418 0.250
Pr2 Pr 0.250 0.250 0.750
Pr3 Pr 0.418 0.084 0.250
Pr4 Pr 0.582 0.916 0.750
Pr5 Pr 0.750 0.750 0.250
Pr6 Pr 0.916 0.582 0.750
Y1 Y 0.167 0.833 0.500
Y2 Y 0.500 0.500 0.500
Y3 Y 0.833 0.167 0.500
Ho1 Ho 0.334 0.666 0.000
Ho2 Ho 0.666 0.334 0.000